# 1
Sr3AsW: relaxed, PBE.

Structure (extended XYZ):
```
5
Lattice="5.9207 0.0000 0.0000 0.0000 5.9207 0.0000 0.0000 0.0000 5.9207" Properties=species:S:1:pos:R:3 pbc="T T T"
Sr 0.0000 0.0000 2.9604
Sr 0.0000 2.9604 0.0000
Sr 2.9604 0.0000 0.0000
As 0.0000 0.0000 0.0000
W 2.9604 2.9604 2.9604
```

Results
Formation energy from the elements   0.597 eV per atom
Distance to the lowest polymorph of the same formula   0.000 eV/atom
DFT total energy   -3.93 eV per atom
SG   Pm-3m, No. 221
N(E_F)   4.65 states/eV/f.u.

---

# 2
HfZn2HgSe: relaxed, PBE.

Structure (extended XYZ):
```
5
Lattice="5.2926 0.0000 0.0000 0.0000 5.2926 0.0000 0.0000 0.0000 5.4665" Properties=species:S:1:pos:R:3 pbc="T T T"
Hf 0.0000 0.0000 0.0000
Zn 0.0000 2.6463 0.0000
Zn 2.6463 0.0000 0.0000
Hg 0.0000 0.0000 2.7332
Se 2.6463 2.6463 2.7332
```

Results
DFT total energy   -2.39 eV per atom
SG   P4/mmm, No. 123
Formation energy (no corrections)   866.3 meV per atom
N(E_F)   2.36 states/eV/f.u.

---

# 3
LuScNi2: relaxed, PBE.

Structure (extended XYZ):
```
4
Lattice="0.0000 3.2385 3.2385 3.2385 0.0000 3.2385 3.2385 3.2385 0.0000" Properties=species:S:1:pos:R:3 pbc="T T T"
Lu 0.0000 0.0000 0.0000
Sc 3.2385 3.2385 3.2385
Ni 1.6193 1.6193 1.6193
Ni 4.8578 4.8578 4.8578
```

Results
Formation energy from the elements   -0.484 eV per atom
Distance to the lowest polymorph of the same formula   0.001 eV/atom
DFT total energy   -6.09 eV per atom
SG   Fm-3m, No. 225
N(E_F)   3.75 states/eV/f.u.

---

# 4
AcSm7Er4: relaxed, PBE.

Structure (extended XYZ):
```
12
Lattice="6.3128 0.0000 0.0000 -0.0043 7.2989 0.0000 -2.1241 -0.0118 8.7370" Properties=species:S:1:pos:R:3 pbc="T T T"
Ac 0.0000 0.0000 0.0000
Sm -0.0021 3.6494 0.0000
Sm 0.0119 7.2878 5.7792
Sm 1.0602 5.4381 2.9513
Sm 3.1532 1.8698 0.0087
Sm 1.0312 5.4173 8.7284
Sm 3.1243 1.8490 5.7857
Sm 4.1725 -0.0008 2.9578
Er -0.0382 3.6377 5.8036
Er 1.0492 1.8700 2.9395
Er 3.1352 5.4170 5.7975
Er 4.2226 3.6493 2.9335
```

Results
Formation energy from the elements   0.023 eV per atom
Distance to the lowest polymorph of the same formula   0.000 eV/atom
DFT total energy   -4.59 eV per atom
SG   P-1, No. 2
N(E_F)   17.41 states/eV/f.u.

---

# 5
NdMg4Pt2: relaxed, PBE.

Structure (extended XYZ):
```
14
Lattice="8.0982 0.0000 0.0000 0.0000 8.0982 0.0000 0.0000 0.0000 4.4519" Properties=species:S:1:pos:R:3 pbc="T T T"
Nd 0.0000 0.0000 0.0000
Nd 4.0491 4.0491 2.2259
Mg 0.7140 2.7181 2.2259
Mg 1.3310 4.7631 0.0000
Mg 2.7181 0.7140 2.2259
Mg 3.3351 6.7672 0.0000
Mg 4.7631 1.3310 0.0000
Mg 5.3801 7.3842 2.2259
Mg 6.7672 3.3351 0.0000
Mg 7.3842 5.3801 2.2259
Pt 1.8481 6.2501 2.2259
Pt 2.2010 2.2010 0.0000
Pt 5.8972 5.8972 0.0000
Pt 6.2501 1.8481 2.2259
```

Results
Formation energy from the elements   -0.697 eV per atom
DFT total energy   -4.01 eV per atom
SG   P4_2/mnm, No. 136
N(E_F)   4.24 states/eV/f.u.

---

# 6
Sm3Cu9Pd2: relaxed, PBE.

Structure (extended XYZ):
```
14
Lattice="-2.1219 4.3661 6.3451 2.1219 -4.3661 6.3451 2.1219 4.3661 -6.3451" Properties=species:S:1:pos:R:3 pbc="T T T"
Sm 0.0000 0.0000 0.0000
Sm 0.0000 0.0000 3.8938
Sm 0.0000 0.0000 8.7963
Cu 2.1219 -1.2645 2.2571
Cu 2.1219 -1.9457 4.7505
Cu 2.1219 1.2645 2.2571
Cu 0.0000 2.4204 1.5945
Cu 0.0000 4.3661 0.0000
Cu 2.1219 1.9457 4.7505
Cu 0.0000 3.1017 4.0880
Cu 0.0000 6.3118 1.5945
Cu 0.0000 5.6306 4.0880
Pd 2.1219 2.6026 0.0000
Pd 0.0000 1.7635 6.3451
```

Results
Formation energy from the elements   -0.292 eV per atom
DFT total energy   -4.68 eV per atom
SG   Immm, No. 71
N(E_F)   5.38 states/eV/f.u.